Material: InCu
Method: DFT, GGA-PBE
State: relaxed

CIF file:
```
data_InCu
_symmetry_space_group_name_H-M 'P m m n'
_symmetry_Int_Tables_number 59
_cell_length_a 3.075
_cell_length_b 17.144
_cell_length_c 4.406
_cell_angle_alpha 90.00
_cell_angle_beta 90.00
_cell_angle_gamma 90.00
loop_
_symmetry_equiv_pos_as_xyz
'x,y,z'
'-x,-y,-z'
'-x+1/2,-y+1/2,z'
'x+1/2,y+1/2,-z'
'x+1/2,-y,-z'
'-x+1/2,y,z'
'-x,y+1/2,-z'
'x,-y+1/2,z'
loop_
_atom_site_label
_atom_site_type_symbol
_atom_site_fract_x
_atom_site_fract_y
_atom_site_fract_z
_atom_site_occupancy
In1 In 0.250 0.092 0.072 1
In2 In 0.250 0.750 0.358 1
Cu1 Cu 0.250 0.250 0.147 1
Cu2 Cu 0.250 0.555 0.424 1
```

Summary:
M_tot: 0.00 μB per cell
Energy of formation: 0.15 eV per atom
DOS(E_F): 0.401 states/eV per atom